[1]
Compound: Sn2Hg3Br4
Source: Alexandria via LeMat-Bulk
Functional: PBE
Structure: relaxed

Cell and atoms, written as POSCAR:
```
Sn2Hg3Br4
1.0
7.026 -8.591 0.000
7.026 8.591 0.000
-0.676 0.000 6.014
Sn Hg Br
4 6 8
Direct
0.082 0.349 0.414
0.349 0.082 0.914
0.651 0.918 0.086
0.918 0.651 0.586
0.060 0.940 0.750
0.370 0.425 0.361
0.425 0.370 0.861
0.575 0.630 0.139
0.630 0.575 0.639
0.940 0.060 0.250
0.099 0.280 0.830
0.157 0.605 0.552
0.280 0.099 0.330
0.395 0.843 0.948
0.605 0.157 0.052
0.720 0.901 0.670
0.843 0.395 0.448
0.901 0.720 0.170
```

Computed properties:
* magnetization: 0.00 μB per formula unit
* formation energy from raw total energies: -0.465 eV per atom


[2]
Compound: SnHg3Br8
Source: Alexandria via LeMat-Bulk
Functional: PBE
Structure: relaxed

Cell and atoms, written as POSCAR:
```
SnHg3Br8
1.0
9.958 -3.093 0.000
9.958 3.093 0.000
-2.407 0.000 8.190
Sn Hg Br
1 3 8
Direct
0.000 0.000 0.000
0.037 0.037 0.564
0.357 0.357 0.040
0.381 0.381 0.559
0.095 0.095 0.326
0.127 0.127 0.855
0.282 0.282 0.239
0.286 0.286 0.708
0.485 0.485 0.999
0.499 0.499 0.495
0.875 0.875 0.087
0.910 0.910 0.621
```

Computed properties:
* magnetization: 0.00 μB per formula unit
* formation energy from raw total energies: -0.490 eV per atom


[3]
Compound: Sn2Hg2Br
Source: Alexandria via LeMat-Bulk
Functional: PBE
Structure: relaxed

Cell and atoms, written as POSCAR:
```
Sn2Hg2Br
1.0
8.331 0.000 0.000
0.000 8.331 0.000
0.000 0.000 4.065
Sn Hg Br
4 4 2
Direct
0.136 0.364 0.000
0.364 0.864 0.000
0.636 0.136 0.000
0.864 0.636 0.000
0.170 0.670 0.500
0.330 0.170 0.500
0.670 0.830 0.500
0.830 0.330 0.500
0.000 0.000 0.000
0.500 0.500 0.000
```

Computed properties:
* E above lowest polymorph: 0 meV/atom
* density of states at the Fermi level: 0.41 states/eV/atom
* magnetization: 0.00 μB per formula unit
* formation energy from raw total energies: -0.087 eV per atom


[4]
Compound: SnHgBr3
Source: Alexandria via LeMat-Bulk
Functional: PBE
Structure: relaxed

Cell and atoms, written as POSCAR:
```
SnHgBr3
1.0
7.465 0.000 0.000
-3.721 6.488 0.000
-3.727 -2.155 7.334
Sn Hg Br
2 2 6
Direct
0.174 0.337 0.011
0.826 0.663 0.989
0.198 0.849 0.547
0.802 0.151 0.453
0.007 0.432 0.237
0.304 0.074 0.237
0.339 0.271 0.763
0.661 0.729 0.237
0.696 0.926 0.763
0.993 0.568 0.763
```

Computed properties:
* E above lowest polymorph: 0 meV/atom
* density of states at the Fermi level: 0.65 states/eV/atom
* magnetization: 0.00 μB per formula unit
* formation energy from raw total energies: -0.477 eV per atom


[5]
Compound: Sn2HgBr2
Source: Alexandria via LeMat-Bulk
Functional: PBE
Structure: relaxed

Cell and atoms, written as POSCAR:
```
Sn2HgBr2
1.0
4.301 0.000 0.000
0.000 4.301 0.000
0.000 0.000 19.291
Sn Hg Br
4 2 4
Direct
0.000 0.500 0.250
0.000 0.500 0.750
0.500 0.000 0.250
0.500 0.000 0.750
0.000 0.000 0.000
0.500 0.500 0.500
0.000 0.000 0.376
0.000 0.000 0.624
0.500 0.500 0.124
0.500 0.500 0.876
```

Computed properties:
* E above lowest polymorph: 149 meV/atom
* density of states at the Fermi level: 0.39 states/eV/atom
* magnetization: 0.00 μB per formula unit
* formation energy from raw total energies: -0.160 eV per atom


[6]
Compound: SnHg3Br
Source: Alexandria via LeMat-Bulk
Functional: PBE
Structure: relaxed

Cell and atoms, written as POSCAR:
```
SnHg3Br
1.0
5.605 0.000 0.000
0.000 5.605 0.000
0.000 0.000 5.605
Sn Hg Br
1 3 1
Direct
0.000 0.000 0.000
0.000 0.000 0.500
0.000 0.500 0.000
0.500 0.000 0.000
0.500 0.500 0.500
```

Computed properties:
* E above lowest polymorph: 0 meV/atom
* density of states at the Fermi level: 0.22 states/eV/atom
* magnetization: 0.00 μB per formula unit
* formation energy from raw total energies: -0.085 eV per atom